Density functional theory data (PBE+U) for crystalline CrTcIO2 at its relaxed geometry.

abc: 3.879 3.879 6.189
angles: 90.00 90.00 90.00
Space group P4/mmm (No. 123)
Asymmetric unit:
Cr1 0.000 0.000 0.000 x1
Tc1 0.500 0.500 0.500 x1
I1 0.500 0.500 0.000 x1
O1 0.000 0.500 0.500 x2

## Properties
- Energy above the most stable polymorph in this dataset: 0.000 eV/atom